## Li2TiV3O8 (PBE with a Hubbard U)

Data for a relaxed Li2TiV3O8 crystal.

abc: 5.954 5.954 9.573
angles: 89.83 89.83 120.60
Site moments in Bohr magnetons follow the coordinates.
Element x y z (fractional)
1 Li 0.326 0.661 0.894  0.01
2 Li 0.009 0.013 0.995  0.00
3 Li 0.013 0.009 0.495  0.00
4 Li 0.661 0.326 0.394  0.01
5 Ti 0.333 0.675 0.496  0.08
6 Ti 0.675 0.333 0.996  0.08
7 V 0.656 0.825 0.213  1.83
8 V 0.171 0.827 0.212  1.84
9 V 0.827 0.171 0.712  1.84
10 V 0.350 0.179 0.722  1.16
11 V 0.179 0.350 0.222  1.16
12 V 0.825 0.656 0.713  1.83
13 O 0.668 0.837 0.595  -0.02
14 O 0.474 0.510 0.346  -0.01
15 O 0.325 0.642 0.101  -0.04
16 O 0.005 0.015 0.306  -0.03
17 O 0.015 0.005 0.806  -0.03
18 O 0.168 0.341 0.598  -0.01
19 O 0.480 0.955 0.341  -0.03
20 O 0.038 0.513 0.343  -0.02
21 O 0.832 0.171 0.093  0.00
22 O 0.171 0.832 0.593  0.00
23 O 0.955 0.480 0.841  -0.03
24 O 0.513 0.038 0.843  -0.02
25 O 0.642 0.325 0.601  -0.04
26 O 0.837 0.668 0.095  -0.02
27 O 0.510 0.474 0.846  -0.01
28 O 0.341 0.168 0.098  -0.01

energy above the most stable polymorph in this dataset: 18 meV per atom
total DFT energy (no corrections): -7.5568 eV/atom
density: 3.90 g cm⁻³